1.
# SmTm2Sn

Crystalline SmTm2Sn at its relaxed geometry (PBE, Alexandria).

Cell: 3.7107 3.7107 8.5173 Å, 90.00 90.00 90.00°
Sites, in units of the cell vectors:
Tm (0.0000, 0.0000, 0.7822)
Tm (0.0000, 0.0000, 0.2178)
Sn (0.5000, 0.5000, 0.0000)
Sm (0.5000, 0.5000, 0.5000)

Summary:
magnetization	0.00	μB/f.u.
energy relative to the lowest polymorph listed for this composition	0.126	eV per atom
energy relative to the elements	-0.2927	eV/atom

=====

2.
# AcCeCu4

Crystalline AcCeCu4 at its relaxed geometry (PBE, Alexandria).

Cell: 4.0672 4.0672 8.2917 Å, 104.20 104.20 90.00°
Last column: magnetic moment on the atom in μB.
Sites, in units of the cell vectors:
Ac (0.2500, 0.7500, 0.5000)  0.01
Ce (0.0000, 0.0000, 0.0000)  0.84
Cu (0.6662, 0.1662, 0.3324)  0.00
Cu (0.5784, 0.5784, 0.1568)  0.00
Cu (0.8338, 0.3338, 0.6676)  0.00
Cu (0.4216, 0.4216, 0.8432)  0.00

Summary:
magnetization	1.07	μB/f.u.
energy relative to the elements	-0.1211	eV/atom

=====

3.
# Sr3CdAs2O8

Crystalline Sr3CdAs2O8 at its relaxed geometry (PBE, Alexandria).

Cell: 5.6267 5.6267 9.8228 Å, 90.00 90.00 120.00°
Sites, in units of the cell vectors:
Sr (0.3333, 0.6667, 0.7468)
Sr (0.6667, 0.3333, 0.2532)
Sr (0.0000, 0.0000, 0.0000)
Cd (0.0000, 0.0000, 0.5000)
As (0.3333, 0.6667, 0.1552)
As (0.6667, 0.3333, 0.8448)
O (0.3333, 0.6667, 0.9798)
O (0.6667, 0.3333, 0.0202)
O (0.1675, 0.8325, 0.2143)
O (0.8325, 0.1675, 0.7857)
O (0.1675, 0.3349, 0.2143)
O (0.8325, 0.6651, 0.7857)
O (0.6651, 0.8325, 0.2143)
O (0.3349, 0.1675, 0.7857)

Summary:
uncorrected formation energy	-1935	meV per atom
magnetization	0.00	μB/f.u.

=====

4.
# Pa2PbSe6

Crystalline Pa2PbSe6 at its relaxed geometry (PBE, Alexandria).

Cell: 7.2564 9.6714 9.6714 Å, 81.05 67.96 67.96°
Sites, in units of the cell vectors:
Pa (0.9995, 0.8334, 0.6667)
Pa (0.5005, 0.3333, 0.1666)
Pa (0.0005, 0.1666, 0.3333)
Pa (0.4995, 0.6667, 0.8334)
Pb (0.2500, 0.2502, 0.7498)
Pb (0.7500, 0.7498, 0.2502)
Se (0.4383, 0.6989, 0.5614)
Se (0.0617, 0.4386, 0.3011)
Se (0.5617, 0.3011, 0.4386)
Se (0.9383, 0.5614, 0.6989)
Se (0.9817, 0.8803, 0.3802)
Se (0.5183, 0.6198, 0.1197)
Se (0.0183, 0.1197, 0.6198)
Se (0.4817, 0.3802, 0.8803)
Se (0.0606, 0.8007, 0.9389)
Se (0.4394, 0.0611, 0.1993)
Se (0.9394, 0.1993, 0.0611)
Se (0.5606, 0.9389, 0.8007)

Summary:
uncorrected formation energy	-1123	meV per atom
magnetization	0.00	μB/f.u.
energy relative to the lowest polymorph listed for this composition	0.000	eV per atom

=====

5.
# RbLiCu2I4

Crystalline RbLiCu2I4 at its relaxed geometry (PBE, Alexandria).

Cell: 7.3031 7.4798 7.4798 Å, 74.01 60.78 60.78°
Sites, in units of the cell vectors:
Rb (0.0000, 0.0000, 0.0000)
Li (0.5000, 0.5000, 0.5000)
Cu (0.1357, 0.3643, 0.3643)
Cu (0.8643, 0.6357, 0.6357)
I (0.4292, 0.1638, 0.5006)
I (0.0935, 0.8362, 0.4994)
I (0.9065, 0.5006, 0.1638)
I (0.5708, 0.4994, 0.8362)

Summary:
uncorrected formation energy	-719	meV per atom
magnetization	0.00	μB/f.u.

=====

6.
# Ba2NpHgS6

Crystalline Ba2NpHgS6 at its relaxed geometry (PBE, Alexandria).

Cell: 7.3643 7.9405 9.5851 Å, 90.00 89.27 90.00°
Last column: magnetic moment on the atom in μB.
Sites, in units of the cell vectors:
Ba (0.0209, 0.9175, 0.2501)  0.00
Ba (0.5209, 0.5825, 0.7501)  0.00
Ba (0.9791, 0.0825, 0.7499)  0.00
Ba (0.4791, 0.4175, 0.2499)  0.00
Np (0.5000, 0.0000, 0.5000)  1.60
Np (0.0000, 0.5000, 0.0000)  1.60
Hg (0.5000, 0.0000, 0.0000)  -0.01
Hg (0.0000, 0.5000, 0.5000)  -0.01
S (0.2808, 0.6681, 0.0473)  -0.07
S (0.7808, 0.8319, 0.5473)  -0.07
S (0.7192, 0.3319, 0.9527)  -0.07
S (0.2192, 0.1681, 0.4527)  -0.07
S (0.3347, 0.7304, 0.4473)  -0.08
S (0.8347, 0.7696, 0.9473)  -0.08
S (0.6653, 0.2696, 0.5527)  -0.08
S (0.1653, 0.2304, 0.0527)  -0.08
S (0.8948, 0.5317, 0.2616)  -0.05
S (0.3948, 0.9683, 0.7616)  -0.05
S (0.1052, 0.4683, 0.7384)  -0.05
S (0.6052, 0.0317, 0.2384)  -0.05

Summary:
uncorrected formation energy	-1252	meV per atom
magnetization	1.00	μB/f.u.